This record from the Alexandria database describes crystalline MnAlCoO at its relaxed geometry. The functional is PBE with a Hubbard U.

As for the density of states at the Fermi level: 0.28 states/eV per atom. For the offset from the most stable computed form, the calculation gives 0.265 eV/f.u. For the spin magnetization, the calculation gives 5.2 μB/f.u.

It has space group Amm2 (No. 38), with a = 3.176 Å, b = 2.813 Å, c = 12.203 Å, α = 90.00°, β = 90.00° and γ = 90.00°. The distinct sites, in fractional coordinates, are Mn at (0.000, 0.000, 0.000), Al at (0.000, 0.000, 0.758), Co at (0.500, 0.000, 0.379) and O at (0.000, 0.000, 0.165).